# 1
CaPa2Br8 | PBE-GGA | optimized geometry

```
CaPa2Br8
1.0
-0.9061 7.2548 3.5141
-4.8118 -0.3883 6.6336
3.9875 0.4580 7.1553
Pa Br Ca
2 8 1
Cartesian
-0.4970 3.3280 2.9829
-1.2334 3.9964 14.3201
-0.7997 5.0242 5.3370
-0.9307 2.3002 11.9661
1.8074 2.0598 8.4192
-1.3129 5.9754 12.4504
1.4084 5.7404 9.1771
-3.5378 5.2646 8.8839
-3.1389 1.5841 8.1259
-0.4175 1.3490 4.8526
0.0000 0.0000 0.0000
```

Summary:
Formation energy from raw total energies, eV per atom: -1.43
Magnetization, Bohr magnetons per cell: 0.12
Electronic total energy, eV per atom: -4.552
Calculated density, g cm⁻³: 4.3

# 2
AcTb3SmTm | PBE-GGA | optimized geometry

```
AcTb3SmTm
1.0
-0.7164 4.3155 3.6278
1.7111 -8.2392 5.6877
7.4547 1.5060 -0.3194
Tm Tb Sm Ac
2 6 2 2
Cartesian
5.0233 -3.3812 5.0143
3.4261 0.9636 3.9817
3.5049 -5.3482 7.0543
2.7140 -1.4745 6.7415
5.7354 -0.9431 2.2545
2.4481 -2.2942 3.2126
6.0013 -0.1234 5.7834
4.9445 2.9306 1.9417
6.1109 -2.2444 8.3281
2.3385 -0.1732 0.6679
8.2620 -2.9064 5.0890
0.1874 0.4888 3.9070
```

Summary:
Magnetization, Bohr magnetons per cell: 0.00
Electronic total energy, eV per atom: -4.301
Calculated density, g cm⁻³: 8.1

# 3
Al6VCu | PBE-GGA | optimized geometry

```
Al6VCu
1.0
-4.8470 -1.4779 -4.2590
-4.9121 -1.0229 1.1447
-3.4836 3.9851 0.1814
Cu Al V
1 6 1
Cartesian
0.0000 0.0000 0.0000
-3.8848 1.4973 -0.7366
-7.4640 -1.9032 -2.2724
-6.9304 0.6237 -2.7795
-2.2951 -0.5977 -0.8419
-6.3123 0.8606 -0.1534
-9.3579 -0.0130 -2.1963
-4.8796 -1.2504 -1.5571
```

Summary:
Magnetization, Bohr magnetons per cell: 0.00
Electronic total energy, eV per atom: -4.418
Calculated density, g cm⁻³: 3.6

# 4
CeY4Os2 | PBE-GGA | optimized geometry

```
CeY4Os2
1.0
6.3611 0.0000 0.0000
0.0000 7.5164 -3.1063
0.0000 -0.1858 7.8036
Y Os Ce
8 4 2
Cartesian
4.7708 5.5101 2.9266
6.3427 2.9834 4.6295
0.0184 4.3472 0.0678
3.1622 4.3472 0.0678
1.5903 1.8204 1.7707
1.5903 7.2999 1.7654
4.7708 0.0307 2.9320
3.1989 2.9834 4.6295
1.5903 4.6697 2.7153
1.5903 1.7823 6.8368
4.7708 2.6609 1.9820
4.7708 5.5483 -2.1395
4.7708 1.2834 -0.2115
1.5903 6.0472 4.9089
```

Summary:
Magnetization, Bohr magnetons per cell: 0.91
Electronic total energy, eV per atom: -7.866
Calculated density, g cm⁻³: 7.9

# 5
Y6HoPd3 | PBE-GGA | optimized geometry

```
Y6HoPd3
1.0
7.2472 0.0000 0.0000
0.0000 8.6674 -1.1966
0.0000 -0.1262 8.7487
Pd Y Ho
6 12 2
Cartesian
3.2987 2.5094 0.4214
6.9223 0.7255 2.4389
3.2987 7.8157 5.1132
6.9223 6.0318 7.1307
6.3319 4.9595 2.9969
2.7083 3.5817 4.5552
1.2253 6.0518 4.6610
4.8489 2.4894 2.8911
5.9661 3.6415 -0.2114
1.1359 0.1901 8.3910
1.2253 3.1742 2.1166
2.3426 0.2362 3.6400
5.9661 8.3050 3.9121
3.7562 1.8901 6.4684
4.8489 5.3670 5.4355
2.3426 4.8997 7.7634
4.7595 8.3511 -0.8389
0.1326 6.6511 1.0837
0.3018 2.6858 5.5684
3.9254 5.8554 1.9837
```

Summary:
Magnetization, Bohr magnetons per cell: 0.00
Electronic total energy, eV per atom: -6.393
Calculated density, g cm⁻³: 6.2

# 6
InHgPb5 | PBE-GGA | optimized geometry

```
InHgPb5
1.0
-4.7552 -10.3186 0.7330
5.7426 -2.6544 -0.1127
-0.3581 6.6467 2.8251
Pb In Hg
5 1 1
Cartesian
-0.2662 -4.3119 0.2319
2.6391 -5.6548 0.1749
0.1543 -7.2905 1.9549
2.4367 -2.2703 0.0107
-0.3406 -0.8054 1.6163
-3.4761 -7.5429 0.5358
-1.0667 -9.8726 0.5507
```

Summary:
Distance to the lowest polymorph of the same formula, meV per atom: 75.3
Magnetization, Bohr magnetons per cell: 0.00
Electronic total energy, eV per atom: -2.953
Calculated density, g cm⁻³: 9.9